A relaxed Pr3Ga2Sn2 crystal. Source: Alexandria, functional PBE.

Lattice parameters (Å, degrees): 4.462 6.227 8.135 111.99 90.00 110.99
Positions (direct):
1 Pr 0.321 0.642 0.359
2 Pr 0.679 0.358 0.641
3 Pr 0.500 0.000 0.000
4 Ga 0.801 0.602 0.068
5 Ga 0.199 0.398 0.932
6 Sn 0.964 0.927 0.671
7 Sn 0.036 0.073 0.329

Calculated values
The total DFT energy (no corrections) comes out at -4.766 eV per atom. The space group is No. 12. The formation energy is -710 meV per atom. The total magnetic moment is 0.0 μB/f.u. Its mass density is 6.87 g/cm³. For the excess energy over the best structure of this formula in the dataset, the calculation gives 5.2 meV per atom.